A relaxed CaPmY14 crystal, computed with GGA-PBE.

Results
Its density of states at the Fermi level is 28.6 states/eV/f.u. As for the crystal system: orthorhombic. As for the total energy: -6.06 eV/atom.

Cell lengths 7.3370, 7.3370, 11.4144 Å; angles 90.00, 90.00, 120.01 degrees
Fractional positions:
1 Y 0.3333 0.6667 0.7512
2 Y 0.3298 0.1650 0.2541
3 Y 0.3333 0.6667 0.2488
4 Y 0.1660 0.8340 0.5000
5 Pm 0.1679 0.8321 0.0000
6 Y 0.1671 0.3335 0.5000
7 Y 0.3298 0.1650 0.7459
8 Y 0.6664 0.3336 0.5000
9 Y 0.8351 0.1649 0.2544
10 Y 0.6654 0.8324 0.0000
11 Y 0.8351 0.1649 0.7456
12 Y 0.8350 0.6702 0.2541
13 Y 0.1676 0.3346 0.0000
14 Y 0.8350 0.6702 0.7459
15 Ca 0.6667 0.3333 0.0000
16 Y 0.6665 0.8329 0.5000